Entry from Alexandria via LeMat-Bulk: a relaxed structure of CsLa3Br (GGA-PBE).

Values from the calculation:
Formation energy (no corrections): 0.811 eV/atom

```
data_CsLa3Br
_chemical_formula_sum 'Cs1 La3 Br1'
_symmetry_space_group_name_H-M 'P m -3 m'
_symmetry_Int_Tables_number 221
_symmetry_space_group_name_Hall '-P 4 2 3'
_cell_length_a 5.971
_cell_length_b 5.971
_cell_length_c 5.971
_cell_angle_alpha 90.00
_cell_angle_beta 90.00
_cell_angle_gamma 90.00
loop_
_atom_site_label
_atom_site_type_symbol
_atom_site_fract_x
_atom_site_fract_y
_atom_site_fract_z
Cs1 Cs 0.000 0.000 0.000
La1 La 0.000 0.000 0.500
Br1 Br 0.500 0.500 0.500
```

Entry from Alexandria via LeMat-Bulk: a relaxed structure of Cs3La2Br9 (GGA-PBE).

Values from the calculation:
Formation energy (no corrections): -1.932 eV/atom

```
data_Cs3La2Br9
_chemical_formula_sum 'Cs18 La12 Br54'
_symmetry_space_group_name_H-M 'R -3 c'
_symmetry_Int_Tables_number 167
_symmetry_space_group_name_Hall '-R 3 2"c'
_cell_length_a 14.3609
_cell_length_b 14.3609
_cell_length_c 19.8930
_cell_angle_alpha 90.00
_cell_angle_beta 90.00
_cell_angle_gamma 120.00
loop_
_atom_site_label
_atom_site_type_symbol
_atom_site_fract_x
_atom_site_fract_y
_atom_site_fract_z
Cs1 Cs 0.0000 0.3310 0.2500
La1 La 0.0000 0.0000 0.1449
Br1 Br 0.0000 0.1550 0.7500
Br2 Br 0.0134 0.1875 0.4150
```

Entry from Alexandria via LeMat-Bulk: a relaxed structure of Cs2La2Br7 (GGA-PBE).

Values from the calculation:
Formation energy (no corrections): -1.817 eV/atom

```
data_Cs2La2Br7
_chemical_formula_sum 'Cs4 La4 Br14'
_symmetry_space_group_name_H-M 'C m m m'
_symmetry_Int_Tables_number 65
_symmetry_space_group_name_Hall '-C 2 2'
_cell_length_a 9.638
_cell_length_b 11.369
_cell_length_c 8.339
_cell_angle_alpha 90.00
_cell_angle_beta 90.00
_cell_angle_gamma 90.00
loop_
_atom_site_label
_atom_site_type_symbol
_atom_site_fract_x
_atom_site_fract_y
_atom_site_fract_z
Cs1 Cs 0.228 0.000 0.000
La1 La 0.000 0.278 0.500
Br1 Br 0.000 0.000 0.500
Br2 Br 0.000 0.500 0.286
Br3 Br 0.250 0.250 0.269
```

Number 1: D(E_F) 1.379 states/eV/atom, spin magnetization 0.00 μB/cell. Number 2: D(E_F) 0.000 states/eV/atom, spin magnetization 0.00 μB/cell. Number 3: D(E_F) 0.721 states/eV/atom, spin magnetization 2.28 μB/cell.